1.
A relaxed structure of Ca3GeTe. Source: Alexandria, functional PBE-GGA.

Lattice parameters (Å, degrees): 5.5977 5.5977 5.5977 90.00 90.00 90.00
With the nearest neighbours (Å) after each atom.
Space group Pm-3m (No. 221)
Asymmetric unit:
Ca 0.0000 0.0000 0.5000  2 Ge 2.80
Ge 0.0000 0.0000 0.0000  6 Ca 2.80
Te 0.5000 0.5000 0.5000  12 Ca 3.96

Polymorph energy (0 for the lowest one) = 0.0 meV per atom
Formation energy without anion corrections = -720 meV/atom
E_tot = -3.4723 eV per atom

---

2.
A relaxed structure of SrLiGe2Pb. Source: Alexandria, functional PBE-GGA.

Lattice parameters (Å, degrees): 5.6261 5.6261 5.3197 90.00 90.00 90.00
With the nearest neighbours (Å) after each atom.
Space group P4/mmm (No. 123)
Asymmetric unit:
Sr 0.0000 0.0000 0.0000  2 Li 2.66, 4 Ge 2.81
Li 0.0000 0.0000 0.5000  2 Sr 2.66
Ge 0.0000 0.5000 0.0000  2 Sr 2.81
Pb 0.5000 0.5000 0.5000  8 Ge 3.87, 4 Li 3.98

E_tot = -2.5063 eV per atom

---

3.
A relaxed structure of K5Be2S4. Source: Alexandria, functional PBE-GGA.

Lattice parameters (Å, degrees): 22.1646 3.7824 9.7214 90.00 106.21 90.00
With the nearest neighbours (Å) after each atom.
Space group C2/m (No. 12)
Asymmetric unit:
K 0.0000 0.0000 0.0000  4 S 3.17, 2 Be 3.44
K 0.1008 0.5000 0.6812  3 S 3.01-3.21
K 0.2033 0.5000 0.3105  3 S 3.08
Be 0.0786 0.0000 0.3594  3 S 1.95-2.17
S 0.0371 0.5000 0.2729  2 Be 2.17
S 0.1577 0.0000 0.5107  1 Be 1.95

Formation energy without anion corrections = -887 meV/atom
E_tot = -3.5639 eV per atom

---

4.
A relaxed structure of RbCdAg2B. Source: Alexandria, functional PBE-GGA.

Lattice parameters (Å, degrees): 5.4941 5.4941 4.3726 90.00 90.00 90.00
With the nearest neighbours (Å) after each atom.
Space group P4/mmm (No. 123)
Asymmetric unit:
Rb 0.0000 0.0000 0.0000  8 Ag 3.51, 4 B 3.88
Cd 0.5000 0.5000 0.5000  2 B 2.19
Ag 0.0000 0.5000 0.5000  2 Cd 2.75
B 0.5000 0.5000 0.0000  2 Cd 2.19

E_tot = -2.0956 eV per atom

---

5.
A relaxed structure of Y4Ga2C. Source: Alexandria, functional PBE-GGA.

Lattice parameters (Å, degrees): 4.8921 4.8921 14.2431 90.00 90.00 90.00
With the nearest neighbours (Å) after each atom.
Space group I4/mmm (No. 139)
Asymmetric unit:
Y 0.0000 0.0000 0.1722  1 C 2.45
Y 0.0000 0.5000 0.0000  2 C 2.45
Ga 0.0000 0.0000 0.3765  5 Y 2.91-3.01
C 0.0000 0.0000 0.0000  6 Y 2.45

Polymorph energy (0 for the lowest one) = 0.0 meV per atom
E_tot = -6.3280 eV per atom

---

6.
A relaxed structure of Fe2TcNi. Source: Alexandria, functional PBE-GGA.

Lattice parameters (Å, degrees): 2.5042 3.9427 5.0454 90.00 101.92 90.00
With the nearest neighbours (Å) after each atom.
Space group Pm (No. 6)
Asymmetric unit:
Fe 0.0000 0.0000 0.0000  4 Fe 2.43-2.50, 2 Ni 2.52-2.56, 2 Tc 2.54
Fe 0.3968 0.5000 0.2464  4 Fe 2.43-2.50, 2 Ni 2.49, 2 Tc 2.50-2.57
Tc 0.4918 0.5000 0.7490  6 Fe 2.50-2.77, 2 Tc 2.50, 4 Ni 2.67-2.68
Ni 0.8865 0.0000 0.4839  6 Fe 2.49-2.75, 2 Ni 2.50, 4 Tc 2.67-2.68

E_tot = -8.1759 eV per atom